PBE DyHo12Th5, optimized geometry; total moment = 0.003 μB per cell; uncorrected energy = -5.33 eV per atom; space-group type = C2/m; DOS(E_F) = 27.6 states/eV per cell
1.0
10.593 -0.001 -0.004
5.297 9.202 -0.662
0.002 -1.637 5.925
Ho Th Dy
12 5 1
direct
0.333 0.665 0.002 Ho
0.499 0.333 0.501 Ho
0.168 0.333 0.501 Ho
0.501 0.667 0.499 Ho
0.663 0.000 0.000 Ho
0.166 0.000 0.500 Ho
0.337 0.000 0.000 Ho
0.834 0.000 0.500 Ho
0.832 0.667 0.499 Ho
0.002 0.665 0.002 Ho
0.998 0.335 0.998 Ho
0.667 0.335 0.998 Ho
0.500 0.000 0.500 Th
0.667 0.667 0.998 Th
0.167 0.666 0.495 Th
0.833 0.334 0.505 Th
0.333 0.333 0.002 Th
0.000 0.000 0.000 Dy